The following is a PBE calculation of a relaxed structure of TlZn2Rh2, from the Alexandria database.

Output
- polymorph energy (0 for the lowest one) (eV per atom) = 0.0000
- electronic total energy (eV per cell) = -40.87
- total magnetic moment (μB per atom) = 0.0000
- DOS(E_F) (states/eV/cell) = 5.2
- crystal system = tetragonal
- volume (Å³ per cell) = 164.1
- energy of formation from the pure elements (eV/f.u.) = -0.82

a b c (Å): 7.206 7.206 3.160
angles (deg): 90.00 90.00 90.00
Sites, in units of the cell vectors:
Tl (0.000, 0.000, 0.000)
Tl (0.500, 0.500, 0.000)
Rh (0.352, 0.852, 0.000)
Rh (0.852, 0.648, 0.000)
Rh (0.648, 0.148, 0.000)
Rh (0.148, 0.352, 0.000)
Zn (0.146, 0.646, 0.500)
Zn (0.646, 0.854, 0.500)
Zn (0.854, 0.354, 0.500)
Zn (0.354, 0.146, 0.500)